Record 1
The following is a DFT calculation (PBE) of a relaxed structure of CaReNi2.

Summary:
ρ: 8.56 g/cm3
formation energy: 0.28 eV/atom
relative energy among the computed polymorphs: 0.44 eV per formula unit

a b c (Å): 4.3168 4.3168 5.9945
angles (deg): 83.45 83.45 36.97
Last column: nearest neighbours and their distance in Å.
Sites, in units of the cell vectors:
Ni (0.0069, 0.0069, 0.9201)  3 Re 2.45-2.53, 4 Ni 2.47-2.74
Re (0.7500, 0.7500, 0.7500)  6 Ni 2.45-2.53, 2 Re 2.74
Ni (0.4931, 0.4931, 0.5799)  3 Re 2.45-2.53, 4 Ni 2.47-2.74
Ca (0.2500, 0.2500, 0.2500)  2 Ca 2.74, 6 Ni 2.97-3.03

Record 2
The following is a DFT calculation (PBE) of a relaxed structure of Li6CaCu2.

Summary:
ρ: 2.01 g/cm3
formation energy: -0.02 eV/atom

a b c (Å): 4.1265 4.1265 10.1438
angles (deg): 90.00 90.00 90.00
Last column: nearest neighbours and their distance in Å.
Sites, in units of the cell vectors:
Li (0.0000, 0.5000, 0.7200)  2 Cu 2.63, 4 Li 2.92
Cu (0.5000, 0.5000, 0.8813)  1 Cu 2.41, 4 Li 2.63
Li (0.0000, 0.0000, 0.5000)  12 Li 2.92-3.04
Li (0.5000, 0.5000, 0.5000)  12 Li 2.92-3.04
Li (0.5000, 0.0000, 0.7200)  2 Cu 2.63, 4 Li 2.92
Ca (0.0000, 0.0000, 0.0000)  8 Cu 3.16, 8 Li 3.51
Cu (0.5000, 0.5000, 0.1187)  1 Cu 2.41, 4 Li 2.63
Li (0.5000, 0.0000, 0.2800)  2 Cu 2.63, 4 Li 2.92
Li (0.0000, 0.5000, 0.2800)  2 Cu 2.63, 4 Li 2.92

Record 3
The following is a DFT calculation (PBE) of a relaxed structure of TbPm2Ge3Rh4.

Summary:
ρ: 9.12 g/cm3
formation energy: -0.88 eV/atom

a b c (Å): 4.1850 4.1850 11.2113
angles (deg): 90.00 90.00 90.00
Last column: nearest neighbours and their distance in Å.
Sites, in units of the cell vectors:
Rh (0.0000, 0.5000, 0.3408)  3 Ge 2.46-2.75, 2 Tb 2.75
Rh (0.0000, 0.0000, 0.0000)  4 Ge 2.50
Pm (0.5000, 0.0000, 0.2281)  4 Ge 3.19, 8 Rh 3.22-3.30
Rh (0.5000, 0.0000, 0.6592)  3 Ge 2.46-2.75, 2 Tb 2.75
Ge (0.5000, 0.0000, 0.8785)  5 Rh 2.46-2.50
Rh (0.5000, 0.5000, 0.0000)  4 Ge 2.50
Pm (0.0000, 0.5000, 0.7719)  4 Ge 3.19, 8 Rh 3.22-3.30
Ge (0.0000, 0.0000, 0.5000)  4 Rh 2.75, 4 Tb 2.96
Ge (0.0000, 0.5000, 0.1215)  5 Rh 2.46-2.50
Tb (0.5000, 0.5000, 0.5000)  4 Rh 2.75, 4 Ge 2.96

Record 4
The following is a DFT calculation (PBE) of a relaxed structure of TlBiRu2.

Summary:
ρ: 12.13 g/cm3
formation energy: 0.95 eV/atom
relative energy among the computed polymorphs: 1.81 eV per formula unit

a b c (Å): 7.3330 7.3330 6.0586
angles (deg): 52.76 52.76 90.00
Last column: nearest neighbours and their distance in Å.
Sites, in units of the cell vectors:
Tl (0.2500, 0.7500, 0.5000)  4 Ru 2.76
Tl (0.5000, 0.5000, 0.0000)  4 Ru 2.76
Bi (0.0000, 0.0000, 0.0000)  4 Ru 2.66
Bi (0.7500, 0.2500, 0.5000)  4 Ru 2.66
Ru (0.8750, 0.8853, 0.7500)  2 Bi 2.66, 2 Tl 2.76
Ru (0.3750, 0.3647, 0.7500)  2 Bi 2.66, 2 Tl 2.76
Ru (0.1147, 0.6250, 0.2500)  2 Bi 2.66, 2 Tl 2.76
Ru (0.6353, 0.1250, 0.2500)  2 Bi 2.66, 2 Tl 2.76

Record 5
The following is a DFT calculation (PBE) of a relaxed structure of LaMgB2Pb.

Summary:
ρ: 4.38 g/cm3
formation energy: 1.64 eV/atom

a b c (Å): 4.8774 6.2466 4.8774
angles (deg): 90.00 90.00 90.00
Last column: nearest neighbours and their distance in Å.
Sites, in units of the cell vectors:
La (0.0000, 0.0000, 0.0000)  4 B 2.44
Mg (0.5000, 0.5000, 0.5000)  4 Pb 3.45
B (0.0000, 0.0000, 0.5000)  2 La 2.44
B (0.5000, 0.0000, 0.0000)  2 La 2.44
Pb (0.0000, 0.5000, 0.0000)  2 La 3.12, 4 Mg 3.45

Record 6
The following is a DFT calculation (PBE) of a relaxed structure of HoCdHgPb.

Summary:
ρ: 11.06 g/cm3
formation energy: -0.19 eV/atom
relative energy among the computed polymorphs: 0.54 eV per formula unit

a b c (Å): 5.2585 5.2585 5.2585
angles (deg): 60.00 60.00 60.00
Last column: nearest neighbours and their distance in Å.
Sites, in units of the cell vectors:
Hg (0.5000, 0.5000, 0.5000)  4 Cd 3.22, 4 Ho 3.22
Pb (0.0000, 0.0000, 0.0000)  4 Ho 3.22, 4 Cd 3.22
Cd (0.7500, 0.7500, 0.7500)  4 Hg 3.22, 4 Pb 3.22
Ho (0.2500, 0.2500, 0.2500)  4 Hg 3.22, 4 Pb 3.22

Record 7
The following is a DFT calculation (PBE) of a relaxed structure of SmErZnAu.

Summary:
ρ: 10.29 g/cm3
formation energy: -0.59 eV/atom
relative energy among the computed polymorphs: 0.00 eV per formula unit

a b c (Å): 3.6170 3.6170 7.1539
angles (deg): 90.00 90.00 90.00
Last column: nearest neighbours and their distance in Å.
Sites, in units of the cell vectors:
Zn (0.0000, 0.0000, 0.8713)  4 Er 3.07, 4 Sm 3.16, 1 Au 3.34
Au (0.0000, 0.0000, 0.3375)  4 Er 3.04, 4 Sm 3.22, 1 Zn 3.34
Sm (0.5000, 0.5000, 0.6114)  4 Zn 3.16, 4 Au 3.22
Er (0.5000, 0.5000, 0.1077)  4 Au 3.04, 4 Zn 3.07

Record 8
The following is a DFT calculation (PBE) of a relaxed structure of Pm2PuSn2.

Summary:
ρ: 7.85 g/cm3
formation energy: -0.39 eV/atom

a b c (Å): 5.3907 5.3907 6.4867
angles (deg): 90.00 90.00 120.00
Last column: nearest neighbours and their distance in Å.
Sites, in units of the cell vectors:
Pm (0.3333, 0.6667, 0.6995)  5 Sn 3.17-3.30
Sn (0.6667, 0.3333, 0.7920)  5 Pm 3.17-3.30, 3 Pu 3.39
Pm (0.6667, 0.3333, 0.3005)  5 Sn 3.17-3.30
Pu (0.0000, 0.0000, 0.0000)  6 Sn 3.39, 6 Pm 3.67
Sn (0.3333, 0.6667, 0.2080)  5 Pm 3.17-3.30, 3 Pu 3.39